This record from the Alexandria database describes an optimized crystal structure of InRhBr2. The functional is GGA-PBEsol.

The structure belongs to space group Cm (No. 8); the cell edges are 10.0881, 3.5113 and 6.5139 Å and the angles 90.00°, 116.25° and 90.00°. The asymmetric unit holds In at (0.0000, 0.0000, 0.0000), Rh at (0.2273, 0.5000, 0.9952), Br at (0.1561, 0.0000, 0.6916) and Br at (0.3343, 0.0000, 0.2978).

As for the energy above the most stable polymorph in this dataset: 0.0 meV per atom. The calculation puts the total moment at 0.000 Bohr magnetons per cell. The value obtained for the total energy is -0.2894 Ry per atom.

***

This record from the Alexandria database describes an optimized crystal structure of CaSb2. The functional is GGA-PBEsol.

The structure belongs to space group I4_1/amd (No. 141, origin choice 2); the cell edges are 4.4235, 4.4235 and 33.3320 Å and the angles 90.00°, 90.00° and 90.00°. The asymmetric unit holds Ca at (0.0000, 0.2500, 0.3014), Sb at (0.0000, 0.2500, 0.1226) and Sb at (0.0000, 0.2500, 0.7806).

The calculation puts the total moment at 0.000 Bohr magnetons per cell. The value obtained for the total energy is -0.3227 Ry per atom.

***

This record from the Alexandria database describes an optimized crystal structure of MoOsRh2. The functional is GGA-PBEsol.

The structure belongs to space group P4/mmm (No. 123); the cell edges are 3.7856, 3.7856 and 3.8831 Å and the angles 90.00°, 90.00° and 90.00°. The asymmetric unit holds Mo at (0.0000, 0.0000, 0.0000), Os at (0.5000, 0.5000, 0.0000) and Rh at (0.0000, 0.5000, 0.5000).

As for the energy above the most stable polymorph in this dataset: 29.6 meV per atom. The calculation puts the total moment at 0.000 Bohr magnetons per cell. The value obtained for the total energy is -0.7497 Ry per atom. The calculation puts the energy relative to the elements at -135 meV per atom.

***

This record from the Alexandria database describes an optimized crystal structure of Cs3GaCl6. The functional is GGA-PBEsol.

The structure belongs to space group Fm-3m (No. 225); the cell edges are 11.0591, 11.0591 and 11.0591 Å and the angles 90.00°, 90.00° and 90.00°. The asymmetric unit holds Cs at (0.0000, 0.0000, 0.0000), Cs at (0.2500, 0.2500, 0.2500), Ga at (0.0000, 0.0000, 0.5000) and Cl at (0.0000, 0.0000, 0.2863).

The calculation puts the total moment at 0.002 Bohr magnetons per cell. The value obtained for the total energy is -0.2542 Ry per atom.

***

This record from the Alexandria database describes an optimized crystal structure of NbAgF2. The functional is GGA-PBEsol.

The structure belongs to space group R-3m (No. 166, hexagonal axes); the cell edges are 2.9441, 2.9441 and 28.2872 Å and the angles 90.00°, 90.00° and 120.00°. The asymmetric unit holds Nb at (0.0000, 0.0000, 0.0000), Ag at (0.0000, 0.0000, 0.5000) and F at (0.0000, 0.0000, 0.0670).

As for the energy above the most stable polymorph in this dataset: 0.0 meV per atom. The calculation puts the total moment at 0.002 Bohr magnetons per cell. The value obtained for the total energy is -0.4192 Ry per atom.

***

This record from the Alexandria database describes an optimized crystal structure of CsNa2. The functional is GGA-PBEsol.

The structure belongs to space group P6_3/mmc (No. 194); the cell edges are 7.6299, 7.6299 and 12.7405 Å and the angles 90.00°, 90.00° and 120.00°. The asymmetric unit holds Cs at (0.3333, 0.6667, 0.0623), Na at (0.0000, 0.0000, 0.0000) and Na at (0.1655, 0.3309, 0.7500).

The calculation puts the total moment at 0.000 Bohr magnetons per cell. The value obtained for the total energy is -0.0921 Ry per atom. The calculation puts the energy relative to the elements at -5 meV per atom.

***

Please write out number 3 again, unchanged.
This record from the Alexandria database describes an optimized crystal structure of MoOsRh2. The functional is GGA-PBEsol.

The structure belongs to space group P4/mmm (No. 123); the cell edges are 3.7856, 3.7856 and 3.8831 Å and the angles 90.00°, 90.00° and 90.00°. The asymmetric unit holds Mo at (0.0000, 0.0000, 0.0000), Os at (0.5000, 0.5000, 0.0000) and Rh at (0.0000, 0.5000, 0.5000).

As for the energy above the most stable polymorph in this dataset: 29.6 meV per atom. The calculation puts the total moment at 0.000 Bohr magnetons per cell. The value obtained for the total energy is -0.7497 Ry per atom. The calculation puts the energy relative to the elements at -135 meV per atom.

***

Question: What is the formula in the fourth record?
Answer: Cs3GaCl6